1.
Here is an optimized crystal structure of NdSnHgSb from Alexandria. Energies are from PBE.

Formation energy (no corrections) (meV per atom): -362
SG: F-43m (216)
Energy (Ry per atom): -0.2691

Structure (POSCAR):
```
NdSnHgSb
1.0
0.000 3.826 3.826
3.826 0.000 3.826
3.826 3.826 0.000
Nd Sn Hg Sb
1 1 1 1
direct
0.000 0.000 0.000
0.500 0.500 0.500
0.250 0.250 0.250
0.750 0.750 0.750
```

2.
Here is an optimized crystal structure of SrNdHgSb from Alexandria. Energies are from PBE.

Formation energy (no corrections) (meV per atom): -647
SG: F-43m (216)
Energy (Ry per atom): -0.2473

Structure (POSCAR):
```
SrNdHgSb
1.0
0.000 3.928 3.928
3.928 0.000 3.928
3.928 3.928 0.000
Sr Nd Hg Sb
1 1 1 1
direct
0.000 0.000 0.000
0.500 0.500 0.500
0.250 0.250 0.250
0.750 0.750 0.750
```

3.
Here is an optimized crystal structure of TbNdHgSb from Alexandria. Energies are from PBE.

Formation energy (no corrections) (meV per atom): -643
SG: F-43m (216)
Energy (Ry per atom): -0.3012

Structure (POSCAR):
```
TbNdHgSb
1.0
0.000 3.804 3.804
3.804 0.000 3.804
3.804 3.804 0.000
Tb Nd Hg Sb
1 1 1 1
direct
0.000 0.000 0.000
0.500 0.500 0.500
0.750 0.750 0.750
0.250 0.250 0.250
```

4.
Here is an optimized crystal structure of Nd4HgSbTe2 from Alexandria. Energies are from PBE.

Formation energy (no corrections) (meV per atom): -1127
SG: P2/m (10)
Energy (Ry per atom): -0.3564

Structure (POSCAR):
```
Nd4HgSbTe2
1.0
7.786 0.000 0.000
0.000 4.437 0.000
-2.535 0.000 7.452
Nd Hg Sb Te
4 1 1 2
direct
0.247 0.000 0.243
0.251 0.500 0.753
0.749 0.500 0.247
0.753 0.000 0.757
0.500 0.000 0.000
0.000 0.500 0.000
0.000 0.000 0.500
0.500 0.500 0.500
```

5.
Here is an optimized crystal structure of Nd6HgSb2Te3 from Alexandria. Energies are from PBE.

Formation energy (no corrections) (meV per atom): -1206
SG: C2/m (12)
Energy (Ry per atom): -0.3739

Structure (POSCAR):
```
Nd6HgSb2Te3
1.0
9.830 -2.236 0.000
9.830 2.236 0.000
-2.139 0.000 8.826
Nd Hg Sb Te
6 1 2 3
direct
0.000 0.000 0.247
0.000 0.000 0.753
0.331 0.331 0.422
0.336 0.336 0.913
0.664 0.664 0.087
0.669 0.669 0.578
0.500 0.500 0.000
0.166 0.166 0.333
0.834 0.834 0.667
0.169 0.169 0.833
0.500 0.500 0.500
0.831 0.831 0.167
```

6.
Here is an optimized crystal structure of Nd6Hg2SbTe3 from Alexandria. Energies are from PBE.

Formation energy (no corrections) (meV per atom): -1063
SG: C2/m (12)
Energy (Ry per atom): -0.3401

Structure (POSCAR):
```
Nd6Hg2SbTe3
1.0
10.002 -2.213 0.000
10.002 2.213 0.000
-2.846 0.000 8.671
Nd Hg Sb Te
6 2 1 3
direct
0.005 0.005 0.248
0.333 0.333 0.895
0.337 0.337 0.396
0.663 0.663 0.604
0.667 0.667 0.105
0.995 0.995 0.752
0.177 0.177 0.366
0.823 0.823 0.634
0.500 0.500 0.000
0.163 0.163 0.852
0.500 0.500 0.500
0.837 0.837 0.148
```